Record 1
VASP calculation (GGA-PBE) on LiPr2CuPd6 after structural relaxation.

Cell: 5.4813 6.4613 6.5391 Å, 73.97 65.31 65.26°
Space group P-1 (No. 2)
Symmetry-distinct sites (fractional):
Li1 0.0000 0.0000 0.0000
Pr1 0.4986 0.7464 0.2569
Cu1 0.0000 0.5000 0.5000
Pd1 0.0021 0.8003 0.6970
Pd2 0.1765 0.5758 0.0700
Pd3 0.4970 0.2015 0.3018

## Properties
* electronic total energy: -5.171 eV/atom
* total magnetic moment: 0.00 μB per formula unit

***

Record 2
VASP calculation (GGA-PBE) on Ca12H5Pb3 after structural relaxation.

Cell: 16.3519 16.3519 16.3519 Å, 90.00 90.00 90.00°
Space group Ia-3d (No. 230)
Symmetry-distinct sites (fractional):
Ca1 0.0378 0.0546 0.6543
H1 0.0000 0.0000 0.0000
H2 0.0000 0.2500 0.3750
Pb1 0.0000 0.2500 0.1250

## Properties
* electronic total energy: -2.950 eV/atom
* total magnetic moment: 0.00 μB per formula unit

***

Record 3
VASP calculation (GGA-PBE) on Si2GeS8 after structural relaxation.

Cell: 12.1161 8.7758 5.5720 Å, 90.00 104.71 90.00°
Space group C2/m (No. 12)
Symmetry-distinct sites (fractional):
Si1 0.1753 0.0000 0.1021
Ge1 0.0000 0.0000 0.5000
S1 0.0662 0.1954 0.1632
S2 0.1631 0.5000 0.6953
S3 0.1816 0.0000 0.7235

## Properties
* electronic total energy: -4.594 eV/atom
* total magnetic moment: 0.00 μB per formula unit
* formation energy (no corrections): -198 kJ/mol of formula units